# 1
GGA-PBE YGePd2Br, relaxed; offset from the most stable computed form = 0.5838 eV per atom; SG = No. 123; raw formation energy = 0.340 eV per atom
1.0
5.201 0.000 0.000
0.000 5.310 0.000
0.000 0.000 5.201
Pd Ge Br Y
2 1 1 1
Cartesian
2.600 0.000 0.000
0.000 0.000 2.600
2.600 2.655 2.600
0.000 2.655 0.000
0.000 0.000 0.000


# 2
GGA-PBE BeHg2P, relaxed; formation energy = 0.54 eV/atom; offset from the most stable computed form = 0.5141 eV per atom; SG = No. 12
1.0
4.082 0.108 0.040
2.699 3.064 0.040
1.649 0.772 6.173
Be Hg P
1 2 1
Cartesian
6.323 2.958 4.690
4.115 1.925 3.266
1.750 0.818 6.034
2.108 0.986 1.563


Number 1: calculated volume 28.73 A^3/atom. Number 2: calculated volume 18.79 A^3/atom.